TcP2F: relaxed, GGA-PBE.

Unit cell a=6.4717 b=6.4717 c=6.4717 alpha=130.43 beta=130.43 gamma=72.73
Closest atoms and distances in Å follow each position.
Sites, in units of the cell vectors:
1 Tc 0.0000 0.0000 0.0000  4 P 2.23
2 Tc 0.7500 0.2500 0.5000  4 P 2.23
3 P 0.0950 0.6250 0.9700  2 Tc 2.23, 2 F 2.42
4 P 0.3750 0.3450 0.4700  2 Tc 2.23, 2 F 2.42
5 P 0.6550 0.1250 0.0300  2 Tc 2.23, 2 F 2.42
6 P 0.8750 0.9050 0.5300  2 Tc 2.23, 2 F 2.42
7 F 0.2500 0.7500 0.5000  4 P 2.42
8 F 0.5000 0.5000 0.0000  4 P 2.42

Values from the calculation:
The calculation puts the spin magnetization at 0.0 μB per formula unit. The value obtained for the total DFT energy (no corrections) is -5.909 eV/atom. For the density of states at the Fermi level, the calculation gives 1.33 states/eV/f.u. As for the polymorph energy (0 for the lowest one): 0 meV/atom.

=====

LiAg2SO4: relaxed, GGA-PBE.

Unit cell a=5.4467 b=5.4467 c=5.4467 alpha=121.53 beta=121.53 gamma=87.37
Closest atoms and distances in Å follow each position.
Sites, in units of the cell vectors:
1 Li 0.0000 0.0000 0.0000  4 O 1.98
2 Ag 0.2500 0.7500 0.5000  4 O 2.78
3 Ag 0.5000 0.5000 0.0000  4 O 2.64
4 S 0.7500 0.2500 0.5000  4 O 1.50
5 O 0.4330 0.0408 0.1935  1 S 1.50
6 O 0.7606 0.5670 0.6078  1 S 1.50
7 O 0.8472 0.2394 0.8065  1 S 1.50
8 O 0.9592 0.1528 0.3922  1 S 1.50

Values from the calculation:
The calculation puts the spin magnetization at 0.0 μB per formula unit. The value obtained for the total DFT energy (no corrections) is -4.904 eV/atom. For the density of states at the Fermi level, the calculation gives 0.27 states/eV/f.u.

=====

Rb2HfBBr6: relaxed, GGA-PBE.

Unit cell a=7.7709 b=7.7709 c=7.7709 alpha=117.77 beta=117.77 gamma=93.91
Closest atoms and distances in Å follow each position.
Sites, in units of the cell vectors:
1 Rb 0.2500 0.7500 0.5000  12 Br 3.89-4.02
2 Rb 0.7500 0.2500 0.5000  12 Br 3.89-4.02
3 Hf 0.0000 0.0000 0.0000  6 Br 2.64-2.65
4 B 0.5000 0.5000 0.0000  2 Br 2.66
5 Br 0.2336 0.2336 0.4672  1 Hf 2.65
6 Br 0.2336 0.7664 0.0000  1 Hf 2.65
7 Br 0.2490 0.2490 0.0000  1 Hf 2.64, 1 B 2.66
8 Br 0.7510 0.7510 0.0000  1 Hf 2.64, 1 B 2.66
9 Br 0.7664 0.2336 0.0000  1 Hf 2.65
10 Br 0.7664 0.7664 0.5328  1 Hf 2.65

Values from the calculation:
The calculation puts the spin magnetization at 1.0 μB per formula unit. The value obtained for the total DFT energy (no corrections) is -3.722 eV/atom. For the density of states at the Fermi level, the calculation gives 5.52 states/eV/f.u.

=====

LiAc3Pr3Te8: relaxed, GGA-PBE.

Unit cell a=9.2494 b=9.2494 c=9.2494 alpha=59.50 beta=59.50 gamma=59.50
Closest atoms and distances in Å follow each position.
Sites, in units of the cell vectors:
1 Li 0.0000 0.0000 0.0000  6 Te 3.18
2 Ac 0.0000 0.0000 0.5000  6 Te 3.31
3 Ac 0.0000 0.5000 0.0000  6 Te 3.31
4 Ac 0.5000 0.0000 0.0000  6 Te 3.31
5 Pr 0.0000 0.5000 0.5000  6 Te 3.20-3.21
6 Pr 0.5000 0.0000 0.5000  6 Te 3.20-3.21
7 Pr 0.5000 0.5000 0.0000  6 Te 3.20-3.21
8 Te 0.2437 0.2437 0.7486  1 Li 3.18, 2 Pr 3.21, 2 Ac 3.31
9 Te 0.2437 0.7486 0.2437  1 Li 3.18, 2 Pr 3.21, 2 Ac 3.31
10 Te 0.2514 0.7563 0.7563  1 Li 3.18, 2 Pr 3.21, 2 Ac 3.31
11 Te 0.2542 0.2542 0.2542  3 Pr 3.20, 3 Ac 3.31
12 Te 0.7458 0.7458 0.7458  3 Pr 3.20, 3 Ac 3.31
13 Te 0.7486 0.2437 0.2437  1 Li 3.18, 2 Pr 3.21, 2 Ac 3.31
14 Te 0.7563 0.2514 0.7563  1 Li 3.18, 2 Pr 3.21, 2 Ac 3.31
15 Te 0.7563 0.7563 0.2514  1 Li 3.18, 2 Pr 3.21, 2 Ac 3.31

Values from the calculation:
The calculation puts the spin magnetization at 0.0 μB per formula unit. The value obtained for the total DFT energy (no corrections) is -5.018 eV/atom. For the density of states at the Fermi level, the calculation gives 4.92 states/eV/f.u.

=====

TbMg5Rh2: relaxed, GGA-PBE.

Unit cell a=6.6839 b=6.6839 c=6.6839 alpha=143.91 beta=102.74 gamma=88.36
Closest atoms and distances in Å follow each position.
Sites, in units of the cell vectors:
1 Tb 0.0000 0.0000 0.0000  4 Rh 2.97
2 Mg 0.1511 0.3334 0.8177  3 Rh 2.70-2.78, 4 Mg 2.85-3.03
3 Mg 0.4843 0.6666 0.8177  3 Rh 2.70-2.78, 4 Mg 2.85-3.03
4 Mg 0.5000 0.0000 0.5000  2 Rh 2.66
5 Mg 0.5157 0.3334 0.1823  3 Rh 2.70-2.78, 4 Mg 2.85-3.03
6 Mg 0.8489 0.6666 0.1823  3 Rh 2.70-2.78, 4 Mg 2.85-3.03
7 Rh 0.2225 0.7225 0.5000  7 Mg 2.66-2.78, 2 Tb 2.97
8 Rh 0.7775 0.2775 0.5000  7 Mg 2.66-2.78, 2 Tb 2.97

Values from the calculation:
The calculation puts the spin magnetization at 0.0 μB per formula unit. The value obtained for the total DFT energy (no corrections) is -3.784 eV/atom. For the density of states at the Fermi level, the calculation gives 3.86 states/eV/f.u. The calculation puts the calculated formation energy at -0.37 eV/atom.

=====

SbRh2Se: relaxed, GGA-PBE.

Unit cell a=5.3357 b=5.3357 c=5.3357 alpha=137.62 beta=137.62 gamma=61.49
Closest atoms and distances in Å follow each position.
Sites, in units of the cell vectors:
1 Sb 0.0000 0.0000 0.0000  8 Rh 2.73-3.00, 4 Se 3.00
2 Rh 0.5000 0.5000 0.0000  4 Sb 2.73, 4 Se 3.00, 4 Rh 3.00
3 Rh 0.7500 0.2500 0.5000  4 Se 2.73, 4 Sb 3.00, 4 Rh 3.00
4 Se 0.2500 0.7500 0.5000  8 Rh 2.73-3.00, 4 Sb 3.00

Values from the calculation:
The calculation puts the spin magnetization at 0.0 μB per formula unit. The value obtained for the total DFT energy (no corrections) is -5.585 eV/atom. For the density of states at the Fermi level, the calculation gives 1.91 states/eV/f.u.

=====

CaScTa2: relaxed, GGA-PBE.

Unit cell a=3.0515 b=3.0515 c=10.3264 alpha=90.00 beta=90.00 gamma=108.93
Closest atoms and distances in Å follow each position.
Sites, in units of the cell vectors:
1 Ca 0.0000 0.0000 0.0000  4 Ca 3.05, 2 Ta 3.28
2 Sc 0.5000 0.5000 0.3022  2 Ta 2.95, 4 Sc 3.05
3 Ta 0.0000 0.0000 0.5300  6 Ta 2.74-3.05, 2 Sc 2.95
4 Ta 0.5000 0.5000 0.7324  6 Ta 2.74-3.05

Values from the calculation:
The calculation puts the spin magnetization at 0.0 μB per formula unit. The value obtained for the total DFT energy (no corrections) is -7.648 eV/atom. For the density of states at the Fermi level, the calculation gives 5.65 states/eV/f.u. The calculation puts the calculated formation energy at 0.36 eV/atom. As for the polymorph energy (0 for the lowest one): 99 meV/atom.

=====

Sr2DyGaS5: relaxed, GGA-PBE.

Unit cell a=9.1800 b=9.1800 c=12.3765 alpha=90.00 beta=90.00 gamma=155.13
Closest atoms and distances in Å follow each position.
Sites, in units of the cell vectors:
1 Sr 0.1164 0.8836 0.5000  7 S 2.99-3.28
2 Sr 0.1252 0.8748 0.1417  6 S 3.02-3.08
3 Sr 0.8748 0.1252 0.6417  6 S 3.02-3.08
4 Sr 0.8836 0.1164 0.0000  7 S 2.99-3.28
5 Dy 0.2080 0.7920 0.8446  6 S 2.64-2.92
6 Dy 0.7920 0.2080 0.3446  6 S 2.64-2.92
7 Ga 0.4431 0.5569 0.2504  4 S 2.23-2.37
8 Ga 0.5569 0.4431 0.7504  4 S 2.23-2.37
9 S 0.0454 0.9546 0.8555  2 Ga 2.37
10 S 0.2933 0.7067 0.4923  2 Dy 2.69
11 S 0.3185 0.6815 0.1895  1 Ga 2.36
12 S 0.3543 0.6457 0.8239  1 Dy 2.64
13 S 0.4982 0.5018 0.5912  1 Ga 2.23
14 S 0.5018 0.4982 0.0912  1 Ga 2.23
15 S 0.6457 0.3543 0.3239  1 Dy 2.64
16 S 0.6815 0.3185 0.6895  1 Ga 2.36
17 S 0.7067 0.2933 0.9923  2 Dy 2.69
18 S 0.9546 0.0454 0.3555  2 Ga 2.37

Values from the calculation:
The calculation puts the spin magnetization at 0.0 μB per formula unit. The value obtained for the total DFT energy (no corrections) is -5.260 eV/atom. For the density of states at the Fermi level, the calculation gives 0.00 states/eV/f.u.